Entry 1:
Material: CuBiI3
Method: DFT, PBE-GGA
State: optimized geometry

## Properties
crystal system: cubic
spin magnetization: 0.8 μB/cell
E_tot: -2.15 eV/atom
distance to the lowest polymorph of the same formula: 0.565 eV/atom
ΔE_f (raw): 0.379 eV per atom

a = 6.170 Å, b = 6.170 Å, c = 6.170 Å
α = 90.00°, β = 90.00°, γ = 90.00°
Site moments in Bohr magnetons follow the coordinates.
Fractional coordinates of all 5 atoms:
Cu  0.500  0.500  0.500  0.12
I  0.000  0.500  0.000  0.00
I  0.000  0.000  0.500  0.00
I  0.500  0.000  0.000  0.03
Bi  0.000  0.000  0.000  0.14

Entry 2:
Material: Y2PPbF
Method: DFT, PBE-GGA
State: optimized geometry

## Properties
crystal system: tetragonal
spin magnetization: 0.0 μB/cell
E_tot: -4.62 eV/atom
ΔE_f (raw): 0.167 eV per atom

a = 5.810 Å, b = 5.142 Å, c = 5.810 Å
α = 90.00°, β = 90.00°, γ = 90.00°
Fractional coordinates of all 5 atoms:
Y  0.500  0.000  0.000
Y  0.000  0.000  0.500
P  0.000  0.500  0.000
Pb  0.000  0.000  0.000
F  0.500  0.500  0.500

Entry 3:
Material: LaBeIN2
Method: DFT, PBE-GGA
State: optimized geometry

## Properties
crystal system: tetragonal
spin magnetization: 1.8 μB/cell
E_tot: -4.79 eV/atom
distance to the lowest polymorph of the same formula: 0.000 eV/atom
ΔE_f (raw): 0.576 eV per atom

a = 4.248 Å, b = 4.248 Å, c = 4.649 Å
α = 90.00°, β = 90.00°, γ = 90.00°
Site moments in Bohr magnetons follow the coordinates.
Fractional coordinates of all 5 atoms:
N  0.000  0.500  0.000  0.64
N  0.500  0.000  0.000  0.64
I  0.000  0.000  0.500  0.09
Be  0.000  0.000  0.000  -0.01
La  0.500  0.500  0.500  -0.03

Entry 4:
Material: Pr3PuBi4
Method: DFT, PBE-GGA
State: optimized geometry

## Properties
crystal system: orthorhombic
spin magnetization: 5.1 μB/cell
E_tot: -6.32 eV/atom
E_form: -0.7943 eV per atom
distance to the lowest polymorph of the same formula: 0.000 eV/atom

a = 4.620 Å, b = 7.997 Å, c = 7.997 Å
α = 109.44°, β = 90.00°, γ = 90.00°
Site moments in Bohr magnetons follow the coordinates.
Fractional coordinates of all 8 atoms:
Pr  0.000  0.500  0.000  0.00
Pr  0.500  0.500  0.500  -0.03
Pr  0.000  0.000  0.500  0.00
Bi  0.000  0.245  0.245  -0.09
Bi  0.500  0.247  0.753  -0.05
Bi  0.500  0.753  0.247  -0.05
Bi  0.000  0.755  0.755  -0.09
Pu  0.500  0.000  0.000  5.29

Entry 5:
Material: MgMn2FeTc
Method: DFT, PBE-GGA
State: optimized geometry

## Properties
crystal system: tetragonal
spin magnetization: 8.7 μB/cell
E_tot: -6.41 eV/atom
E_form: 1.3441 eV per atom

a = 4.491 Å, b = 4.872 Å, c = 4.491 Å
α = 90.00°, β = 90.00°, γ = 90.00°
Site moments in Bohr magnetons follow the coordinates.
Fractional coordinates of all 5 atoms:
Tc  0.000  0.000  0.000  -0.29
Mn  0.500  0.000  0.000  3.00
Mn  0.000  0.000  0.500  2.72
Fe  0.500  0.500  0.500  3.10
Mg  0.000  0.500  0.000  -0.01

Entry 6:
Material: NaLaP3
Method: DFT, PBE-GGA
State: optimized geometry

## Properties
crystal system: cubic
spin magnetization: 0.0 μB/cell
E_tot: -4.23 eV/atom
E_form: 0.2619 eV per atom
distance to the lowest polymorph of the same formula: 0.000 eV/atom

a = 4.828 Å, b = 4.828 Å, c = 4.828 Å
α = 90.00°, β = 90.00°, γ = 90.00°
Fractional coordinates of all 5 atoms:
P  0.500  0.000  0.000
P  0.000  0.500  0.000
P  0.000  0.000  0.500
Na  0.000  0.000  0.000
La  0.500  0.500  0.500

Entry 7:
Material: K3BaLi
Method: DFT, PBE-GGA
State: optimized geometry

## Properties
crystal system: cubic
spin magnetization: 0.0 μB/cell
E_tot: -1.20 eV/atom
E_form: 0.2269 eV per atom
distance to the lowest polymorph of the same formula: 0.000 eV/atom

a = 6.871 Å, b = 6.871 Å, c = 6.871 Å
α = 90.00°, β = 90.00°, γ = 90.00°
Fractional coordinates of all 5 atoms:
K  0.500  0.000  0.000
K  0.000  0.000  0.500
K  0.000  0.500  0.000
Li  0.000  0.000  0.000
Ba  0.500  0.500  0.500

Entry 8:
Material: LiHoP2Pt5
Method: DFT, PBE-GGA
State: optimized geometry

## Properties
crystal system: tetragonal
spin magnetization: 0.0 μB/cell
E_tot: -5.98 eV/atom
E_form: -0.7007 eV per atom

a = 3.972 Å, b = 3.972 Å, c = 11.283 Å
α = 90.00°, β = 90.00°, γ = 90.00°
Fractional coordinates of all 9 atoms:
Li  0.000  0.000  0.500
Pt  0.500  0.000  0.809
Pt  0.000  0.500  0.809
Pt  0.000  0.500  0.191
Pt  0.500  0.000  0.191
Pt  0.500  0.500  0.500
Ho  0.000  0.000  0.000
P  0.500  0.500  0.301
P  0.500  0.500  0.699